1.
The following is a GGA-PBE calculation of a geometry-optimized Hg2GeAu structure, from OQMD.

abc: 4.9627 4.9627 4.9627
angles: 60.00 60.00 60.00
Fractional coordinates of all 4 atoms:
Ge1 0.5000 0.5000 0.5000
Hg1 0.7500 0.7500 0.7500
Hg2 0.0000 0.0000 0.0000
Au1 0.2500 0.2500 0.2500

2.
The following is a GGA-PBE calculation of a geometry-optimized Pr2CuGe structure, from OQMD.

abc: 4.2798 5.9470 7.9827
angles: 90.00 90.00 90.00
Last column: magnetic moment on the atom in μB.
Fractional coordinates of all 8 atoms:
Pr1 0.0000 0.6199 0.1789  0.11
Pr2 0.5000 0.1165 0.3209  0.09
Pr3 0.0000 0.3802 0.6789  0.12
Pr4 0.5000 0.8835 0.8209  0.09
Ge1 0.0000 0.1258 0.0349  -0.01
Ge2 0.0000 0.8742 0.5349  -0.01
Cu1 0.5000 0.6282 0.4653  0.02
Cu2 0.5000 0.3718 0.9653  0.02

3.
The following is a GGA-PBE calculation of a geometry-optimized GdTlNi structure, from OQMD.

abc: 4.7236 4.7236 4.7236
angles: 60.00 60.00 60.00
Fractional coordinates of all 3 atoms:
Gd1 0.2500 0.2500 0.2500
Tl1 0.0000 0.0000 0.0000
Ni1 0.7500 0.7500 0.7500

4.
The following is a GGA-PBE calculation of a geometry-optimized Sr3Pd2 structure, from OQMD.

The polymorph energy (0 for the lowest one) is 0.0 kJ/mol of formula units.

abc: 8.0958 8.0958 8.0958
angles: 71.73 71.73 71.73
Fractional coordinates of all 15 atoms:
Pd1 0.9596 0.5869 0.1497
Pd2 0.8503 0.0404 0.4131
Pd3 0.0404 0.4131 0.8503
Pd4 0.4131 0.8503 0.0404
Pd5 0.1497 0.9596 0.5869
Pd6 0.5869 0.1497 0.9596
Sr1 0.3931 0.1589 0.6696
Sr2 0.1589 0.6696 0.3931
Sr3 0.3304 0.6069 0.8411
Sr4 0.0000 0.0000 0.0000
Sr5 0.8411 0.3304 0.6069
Sr6 0.6696 0.3931 0.1589
Sr7 0.7966 0.7966 0.7966
Sr8 0.2034 0.2034 0.2034
Sr9 0.6069 0.8411 0.3304

5.
The following is a GGA-PBE calculation of a geometry-optimized Ho5Te3Pt structure, from OQMD.

The polymorph energy (0 for the lowest one) is 0.0 kJ/mol of formula units.

abc: 8.6884 8.6884 3.8280
angles: 90.00 90.00 120.00
Fractional coordinates of all 9 atoms:
Te1 0.5554 0.0000 0.0000
Te2 0.0000 0.5554 0.0000
Te3 0.4446 0.4446 0.0000
Ho1 0.0000 0.2342 0.5000
Ho2 0.6667 0.3333 0.5000
Ho3 0.2342 0.0000 0.5000
Ho4 0.3333 0.6667 0.5000
Ho5 0.7658 0.7658 0.5000
Pt1 0.0000 0.0000 0.0000

6.
The following is a GGA-PBE calculation of a geometry-optimized Pr2DyCd4In2 structure, from OQMD.

abc: 4.7009 7.5899 7.5899
angles: 119.23 90.00 90.00
Fractional coordinates of all 9 atoms:
Cd1 0.0000 0.9917 0.9917
Cd2 0.5000 0.0006 0.7580
Cd3 0.5000 0.7580 0.0006
Cd4 0.5000 0.2400 0.2400
Pr1 0.0000 0.0028 0.4245
Pr2 0.0000 0.4245 0.0028
In1 0.5000 0.3388 0.6653
In2 0.5000 0.6653 0.3388
Dy1 0.0000 0.5782 0.5782

Which DFT total energy belongs to each record? In order, -1.8769, -4.9642, -3.9432, -3.6363, -5.0518, -2.9985 eV per atom.